# 1
An optimized crystal structure of Ca3Ge2BiAu6. Source: the Alexandria database, functional GGA-PBE.

POSCAR file:
```
Ca3Ge2BiAu6
1.0
-1.262 4.810 2.766
-2.650 -4.846 1.366
7.654 -2.149 7.230
Au Ca Ge Bi
6 3 2 1
direct
0.834 0.166 0.751 Au
0.331 0.166 0.751 Au
0.669 0.834 0.249 Au
0.166 0.834 0.249 Au
0.834 0.669 0.751 Au
0.166 0.331 0.249 Au
0.000 0.000 0.000 Ca
0.667 0.333 0.376 Ca
0.333 0.667 0.624 Ca
0.667 0.333 0.940 Ge
0.333 0.667 0.060 Ge
0.000 0.000 0.500 Bi
```

SG ... P-3m1
Volume ... 25.11 Å³/atom
Calculated total energy ... -3.641 eV/atom
Total moment ... 0.00 μB/f.u.
Energy relative to the elements ... -39.4 kJ/mol of atoms



# 2
An optimized crystal structure of CsSrHg3. Source: the Alexandria database, functional GGA-PBE.

POSCAR file:
```
CsSrHg3
1.0
-1.994 5.453 -2.619
-5.835 -2.461 -0.683
-1.597 2.186 5.766
Sr Hg Cs
1 3 1
direct
0.000 0.000 0.000 Sr
0.000 0.000 0.500 Hg
0.000 0.500 0.000 Hg
0.500 0.000 0.000 Hg
0.500 0.500 0.500 Cs
```

SG ... Pm-3m
Volume ... 51.68 Å³/atom
Calculated total energy ... -0.805 eV/atom
Total moment ... 0.00 μB/f.u.
Energy relative to the elements ... -11.2 kJ/mol of atoms
Energy above the most stable polymorph in this dataset ... 21.08 kJ/mol of atoms



# 3
An optimized crystal structure of YSiTc2. Source: the Alexandria database, functional GGA-PBE.

POSCAR file:
```
YSiTc2
1.0
-4.886 -1.766 -0.837
-1.080 -1.677 -4.870
3.788 -0.837 3.556
Tc Y Si
2 1 1
direct
0.500 0.500 0.000 Tc
0.000 0.000 0.000 Tc
0.250 0.750 0.500 Y
0.750 0.250 0.500 Si
```

Formation energy without anion corrections ... 0.195 eV per atom
SG ... I4/mmm
Volume ... 17.20 Å³/atom
Calculated total energy ... -7.960 eV/atom
Total moment ... 0.00 μB/f.u.



# 4
An optimized crystal structure of Na2CuSb4. Source: the Alexandria database, functional GGA-PBE.

POSCAR file:
```
Na2CuSb4
1.0
-1.966 1.028 4.678
-3.809 -3.401 -0.854
1.640 -7.060 5.106
Na Sb Cu
2 4 1
direct
0.353 0.353 0.294 Na
0.647 0.647 0.706 Na
0.500 0.000 0.000 Sb
0.846 0.846 0.309 Sb
0.154 0.154 0.691 Sb
0.000 0.500 0.000 Sb
0.000 0.000 0.000 Cu
```

Formation energy without anion corrections ... 0.139 eV per atom
SG ... I4/mmm
Volume ... 30.91 Å³/atom
Calculated total energy ... -3.179 eV/atom
Total moment ... 0.00 μB/f.u.



# 5
An optimized crystal structure of MnCdPd2. Source: the Alexandria database, functional GGA-PBE.

POSCAR file:
```
MnCdPd2
1.0
4.903 -1.660 -2.969
-1.433 4.974 2.969
-3.470 0.159 4.852
Pd Mn Cd
2 1 1
direct
0.000 0.764 0.764 Pd
0.000 0.236 0.236 Pd
0.000 0.000 0.000 Mn
0.000 0.500 0.500 Cd
```

SG ... Immm
Volume ... 17.75 Å³/atom
Calculated total energy ... -4.883 eV/atom
Total moment ... 4.20 μB/f.u.
Energy relative to the elements ... 22.7 kJ/mol of atoms



# 6
An optimized crystal structure of Dy3Be2GaPd9. Source: the Alexandria database, functional GGA-PBE.

POSCAR file:
```
Dy3Be2GaPd9
1.0
5.867 0.000 0.000
-2.933 5.081 0.000
0.000 0.000 9.049
Be Pd Dy Ga
2 9 3 1
direct
0.333 0.667 0.152 Be
0.667 0.333 0.848 Be
0.839 0.677 0.710 Pd
0.500 0.000 0.000 Pd
0.161 0.839 0.290 Pd
0.161 0.323 0.290 Pd
0.000 0.500 0.000 Pd
0.500 0.500 0.000 Pd
0.323 0.161 0.710 Pd
0.677 0.839 0.290 Pd
0.839 0.161 0.710 Pd
0.333 0.667 0.685 Dy
0.000 0.000 0.000 Dy
0.667 0.333 0.315 Dy
0.000 0.000 0.500 Ga
```

SG ... P-3m1
Volume ... 17.98 Å³/atom
Calculated total energy ... -5.420 eV/atom
Total moment ... 0.00 μB/f.u.
Energy relative to the elements ... -66.1 kJ/mol of atoms